No. 1
Below is crystalline Rb3MgB2O6 at its relaxed geometry, with properties calculated at the PBE level.

The structure belongs to space group P-3m1 (No. 164); the cell edges are 5.5521, 5.5521 and 7.0045 Å and the angles 90.00°, 90.00° and 120.00°. Symmetry generates all atoms from Rb at (0.0000, 0.0000, 0.0000), Rb at (0.3333, 0.6667, 0.7482), Mg at (0.0000, 0.0000, 0.5000), B at (0.3333, 0.6667, 0.3217) and O at (0.1887, 0.3774, 0.3206).

The uncorrected formation energy comes out at -2.05 eV/atom. The density of states at the Fermi level comes out at 0.432 states/eV per atom.

---

No. 2
Below is crystalline Hf3ZrN4 at its relaxed geometry, with properties calculated at the PBE level.

The structure belongs to space group P6_3/mmc (No. 194); the cell edges are 3.2042, 3.2042 and 21.3357 Å and the angles 90.00°, 90.00° and 120.00°. Symmetry generates all atoms from Hf at (0.0000, 0.0000, 0.0000), Hf at (0.3333, 0.6667, 0.1235), Zr at (0.3333, 0.6667, 0.7500), N at (0.0000, 0.0000, 0.1821) and N at (0.3333, 0.6667, 0.5631).

The uncorrected formation energy comes out at -1.75 eV/atom. The density of states at the Fermi level comes out at 0.238 states/eV per atom. The excess energy over the best structure of this formula in the dataset is 0 meV/atom.

---

No. 3
Below is crystalline Na2LaTcO6 at its relaxed geometry, with properties calculated at the PBE level.

The structure belongs to space group P2_1/c (No. 14); the cell edges are 5.693, 5.930 and 9.962 Å and the angles 90.00°, 124.53° and 90.00°. Symmetry generates all atoms from Na at (0.247, 0.044, 0.258), La at (0.500, 0.000, 0.000), Tc at (0.000, 0.000, 0.500), O at (0.096, 0.233, 0.933), O at (0.230, 0.671, 0.955) and O at (0.322, 0.050, 0.718).

The uncorrected formation energy comes out at -1.95 eV/atom.

---

No. 4
Below is crystalline CoPd5Au at its relaxed geometry, with properties calculated at the PBE level.

The structure belongs to space group Imm2 (No. 44); the cell edges are 5.107, 6.892 and 7.217 Å and the angles 90.00°, 90.00° and 90.00°. Symmetry generates all atoms from Co at (0.000, 0.000, 0.000), Pd at (0.000, 0.185, 0.696), Pd at (0.000, 0.500, 0.488), Pd at (0.241, 0.000, 0.318) and Au at (0.000, 0.500, 0.137).

The calculation puts the formation energy at 3.5 eV/f.u. The density of states at the Fermi level comes out at 1.445 states/eV per atom. The excess energy over the best structure of this formula in the dataset is 377 meV/atom.

---

No. 5
Below is crystalline Sc4Te2AsSe at its relaxed geometry, with properties calculated at the PBE level.

The structure belongs to space group P2/m (No. 10); the cell edges are 6.905, 3.992 and 7.072 Å and the angles 90.00°, 109.01° and 90.00°. Symmetry generates all atoms from Sc at (0.231, 0.000, 0.212), Sc at (0.257, 0.500, 0.787), Te at (0.000, 0.000, 0.500), Te at (0.500, 0.500, 0.500), As at (0.000, 0.500, 0.000) and Se at (0.500, 0.000, 0.000).

The uncorrected formation energy comes out at -1.35 eV/atom. The density of states at the Fermi level comes out at 0.473 states/eV per atom.

---

No. 6
Below is crystalline Lu3B at its relaxed geometry, with properties calculated at the PBE level.

The structure belongs to space group Imm2 (No. 44); the cell edges are 3.354, 9.989 and 5.719 Å and the angles 90.00°, 90.00° and 90.00°. Symmetry generates all atoms from Lu at (0.000, 0.000, 0.000), Lu at (0.000, 0.177, 0.474) and B at (0.000, 0.500, 0.827).

The calculation puts the formation energy at 0.3 eV/f.u. The density of states at the Fermi level comes out at 0.832 states/eV per atom.

---

No. 7
Below is crystalline SrAl2Ni at its relaxed geometry, with properties calculated at the PBE level.

The structure belongs to space group Imm2 (No. 44); the cell edges are 4.522, 5.504 and 7.173 Å and the angles 90.00°, 90.00° and 90.00°. Symmetry generates all atoms from Sr at (0.000, 0.000, 0.000), Al at (0.000, 0.000, 0.463), Al at (0.000, 0.500, 0.193) and Ni at (0.000, 0.500, 0.855).

The calculation puts the formation energy at 0.0 eV/f.u. The density of states at the Fermi level comes out at 0.580 states/eV per atom.

---

No. 8
Below is crystalline Li2CuRh at its relaxed geometry, with properties calculated at the PBE level.

The structure belongs to space group Pmm2 (No. 25); the cell edges are 2.558, 4.093 and 5.166 Å and the angles 90.00°, 90.00° and 90.00°. Symmetry generates all atoms from Li at (0.000, 0.000, 0.000), Li at (0.500, 0.500, 0.264), Cu at (0.500, 0.500, 0.736) and Rh at (0.000, 0.000, 0.514).

The calculation puts the formation energy at -0.3 eV/f.u. The density of states at the Fermi level comes out at 0.545 states/eV per atom. The excess energy over the best structure of this formula in the dataset is 61 meV/atom.

---

No. 9
Below is crystalline Pm3Co2Sn4 at its relaxed geometry, with properties calculated at the PBE level.

The structure belongs to space group C2/m (No. 12); the cell edges are 11.437, 4.508 and 8.639 Å and the angles 90.00°, 105.84° and 90.00°. Symmetry generates all atoms from Pm at (0.000, 0.000, 0.000), Pm at (0.127, 0.500, 0.687), Co at (0.199, 0.500, 0.386), Sn at (0.096, 0.000, 0.393) and Sn at (0.206, 0.500, 0.087).

The calculation puts the formation energy at -4.9 eV/f.u. The density of states at the Fermi level comes out at 0.823 states/eV per atom.

---

No. 10
Below is crystalline K4FeAg at its relaxed geometry, with properties calculated at the PBE level.

The structure belongs to space group F-43m (No. 216); the cell edges are 10.373, 10.373 and 10.373 Å and the angles 90.00°, 90.00° and 90.00°. Symmetry generates all atoms from K at (0.125, 0.125, 0.125), Fe at (0.000, 0.000, 0.500) and Ag at (0.250, 0.250, 0.750).

The calculation puts the formation energy at 5.1 eV/f.u. The density of states at the Fermi level comes out at 1.171 states/eV per atom.

---

No. 11
Below is crystalline Pr3YHo6 at its relaxed geometry, with properties calculated at the PBE level.

The structure belongs to space group C2/m (No. 12); the cell edges are 11.585, 6.592 and 9.770 Å and the angles 90.00°, 115.15° and 90.00°. Symmetry generates all atoms from Pr at (0.000, 0.000, 0.000), Pr at (0.072, 0.000, 0.701), Y at (0.000, 0.500, 0.500), Ho at (0.135, 0.500, 0.921) and Ho at (0.185, 0.254, 0.313).

The calculation puts the formation energy at 2.2 eV/f.u. The density of states at the Fermi level comes out at 1.809 states/eV per atom. The excess energy over the best structure of this formula in the dataset is 71 meV/atom.

---

No. 12
Below is crystalline InOs2C at its relaxed geometry, with properties calculated at the PBE level.

The structure belongs to space group Fm-3m (No. 225); the cell edges are 6.094, 6.094 and 6.094 Å and the angles 90.00°, 90.00° and 90.00°. Symmetry generates all atoms from In at (0.000, 0.000, 0.000), Os at (0.250, 0.250, 0.250) and C at (0.000, 0.000, 0.500).

The calculation puts the formation energy at 7.4 eV/f.u. The density of states at the Fermi level comes out at 0.821 states/eV per atom. The excess energy over the best structure of this formula in the dataset is 793 meV/atom.

---

Please write out number 2 again, unchanged.
Below is crystalline Hf3ZrN4 at its relaxed geometry, with properties calculated at the PBE level.

The structure belongs to space group P6_3/mmc (No. 194); the cell edges are 3.2042, 3.2042 and 21.3357 Å and the angles 90.00°, 90.00° and 120.00°. Symmetry generates all atoms from Hf at (0.0000, 0.0000, 0.0000), Hf at (0.3333, 0.6667, 0.1235), Zr at (0.3333, 0.6667, 0.7500), N at (0.0000, 0.0000, 0.1821) and N at (0.3333, 0.6667, 0.5631).

The uncorrected formation energy comes out at -1.75 eV/atom. The density of states at the Fermi level comes out at 0.238 states/eV per atom. The excess energy over the best structure of this formula in the dataset is 0 meV/atom.